The following is a DFT calculation (GGA-PBE) of a relaxed Pm3TmHg6 crystal.

a b c (Å): 9.3390 5.1923 11.2508
angles (deg): 90.00 106.68 90.00
Closest atoms and distances in Å follow each position.
Space group P2_1/m (No. 11)
Inequivalent atoms, fractional coordinates:
Pm 0.0127 0.2500 0.3854 x2  5 Hg 3.09-3.39
Pm 0.1476 0.7500 0.2133 x2  8 Hg 3.14-3.38
Pm 0.2739 0.2500 0.9910 x2  11 Hg 3.16-3.53
Tm 0.4419 0.2500 0.5997 x2  8 Hg 3.04-3.25
Hg 0.0336 0.7500 0.9153 x2  7 Pm 3.21-3.38, 3 Hg 3.38-3.47
Hg 0.1680 0.2500 0.6976 x2  1 Tm 3.06, 5 Pm 3.09-3.39, 2 Hg 3.20
Hg 0.2672 0.7500 0.5041 x2  3 Tm 3.09-3.25, 2 Pm 3.14-3.20, 1 Hg 3.38
Hg 0.3540 0.2500 0.3094 x2  3 Tm 3.13-3.21, 3 Pm 3.23-3.44, 1 Hg 3.42
Hg 0.3540 0.7500 0.8172 x2  8 Hg 3.18-3.47, 4 Pm 3.46-3.53
Hg 0.4412 0.7500 0.1188 x2  1 Tm 3.04, 4 Pm 3.16-3.24, 3 Hg 3.18-3.25

## Properties
- Formation energy: -0.43 eV/atom